Record 1
Ba2Bi3 | meta-GGA SCAN | single point on PBEsol structure

D(E_F) = 2.32 states/eV/f.u.
crystal system = orthorhombic
volume = 37.85 Å³ per atom
calculated total energy = -63.834 eV per atom
DFT formation energy = -0.87 eV/atom

Cell and atoms, written as CIF:
```
data_Ba2Bi3
_chemical_formula_sum 'Ba4 Bi6'
_cell_length_a 4.8206
_cell_length_b 7.7638
_cell_length_c 10.1137
_cell_angle_alpha 90.00
_cell_angle_beta 90.00
_cell_angle_gamma 90.00
_space_group_name_H-M_alt 'I m m m'
_space_group_IT_number 71
_space_group_name_Hall '-I 2 2'
loop_
_atom_site_label
_atom_site_fract_x
_atom_site_fract_y
_atom_site_fract_z
Ba1 0.0000 0.0000 0.2214
Bi1 0.0000 0.2938 0.5000
Bi2 0.0000 0.5000 0.0000
```

=====

Record 2
CsUCrO6 | meta-GGA SCAN | single point on PBEsol structure

formation energy from raw total energies = -2.711 eV per atom
crystal system = monoclinic
volume = 17.07 Å³ per atom
calculated total energy = -24.612 eV per atom

Cell and atoms, written as CIF:
```
data_CsUCrO6
_chemical_formula_sum 'Cs4 U4 Cr4 O24'
_cell_length_a 7.3576
_cell_length_b 8.3082
_cell_length_c 10.4390
_cell_angle_alpha 90.00
_cell_angle_beta 105.63
_cell_angle_gamma 90.00
_space_group_name_H-M_alt 'P 1 21/c 1'
_space_group_IT_number 14
loop_
_space_group_symop_operation_xyz
'x,y,z'
'-x,-y,-z'
'-x,y+1/2,-z+1/2'
'x,-y+1/2,z+1/2'
loop_
_atom_site_label
_atom_site_fract_x
_atom_site_fract_y
_atom_site_fract_z
Cs1 0.0369 0.2388 0.3672
U1 0.4890 0.0190 0.1776
Cr1 0.3953 0.6437 0.9417
O1 0.1746 0.6331 0.9256
O2 0.2338 0.0561 0.1218
O3 0.2568 0.0189 0.7616
O4 0.4330 0.7112 0.7853
O5 0.4682 0.0597 0.3955
O6 0.4751 0.6589 0.5078
```

=====

Record 3
KGe3As3 | meta-GGA SCAN | single point on PBEsol structure

crystal system = orthorhombic
volume = 24.86 Å³ per atom
calculated total energy = -18.257 eV per atom
DFT formation energy = -0.23 eV/atom

Cell and atoms, written as CIF:
```
data_KGe3As3
_chemical_formula_sum 'K4 Ge12 As12'
_cell_length_a 9.6932
_cell_length_b 3.8321
_cell_length_c 18.7417
_cell_angle_alpha 90.00
_cell_angle_beta 90.00
_cell_angle_gamma 90.00
_space_group_name_H-M_alt 'P n m a'
_space_group_IT_number 62
loop_
_space_group_symop_operation_xyz
'x,y,z'
'-x,-y,-z'
'-x+1/2,-y,z+1/2'
'x+1/2,y,-z+1/2'
'x+1/2,-y+1/2,-z+1/2'
'-x+1/2,y+1/2,z+1/2'
'-x,y+1/2,-z'
'x,-y+1/2,z'
loop_
_atom_site_label
_atom_site_fract_x
_atom_site_fract_y
_atom_site_fract_z
K1 0.2355 0.2500 0.0422
Ge1 0.0174 0.2500 0.6350
Ge2 0.1036 0.7500 0.2435
Ge3 0.1759 0.7500 0.8454
As1 0.0232 0.2500 0.8715
As2 0.1186 0.2500 0.4190
As3 0.2376 0.7500 0.7196
```

=====

Record 4
MgCu2Se4 | meta-GGA SCAN | single point on PBEsol structure

D(E_F) = 0.72 states/eV/f.u.
formation energy from raw total energies = -0.273 eV per atom
crystal system = tetragonal
volume = 20.20 Å³ per atom
calculated total energy = -16.800 eV per atom

Cell and atoms, written as CIF:
```
data_MgCu2Se4
_chemical_formula_sum 'Mg2 Cu4 Se8'
_cell_length_a 7.5132
_cell_length_b 7.5132
_cell_length_c 5.0091
_cell_angle_alpha 90.00
_cell_angle_beta 90.00
_cell_angle_gamma 90.00
_space_group_name_H-M_alt 'I 4/m'
_space_group_IT_number 87
_space_group_name_Hall '-I 4'
loop_
_atom_site_label
_atom_site_fract_x
_atom_site_fract_y
_atom_site_fract_z
Mg1 0.0000 0.0000 0.0000
Cu1 0.0000 0.5000 0.2500
Se1 0.1951 0.7046 0.0000
```

=====

Record 5
Sc4CuAu | meta-GGA SCAN | single point on PBEsol structure

D(E_F) = 6.30 states/eV/f.u.
crystal system = cubic
volume = 19.46 Å³ per atom
calculated total energy = -23.240 eV per atom
DFT formation energy = 0.31 eV/atom

Cell and atoms, written as CIF:
```
data_Sc4CuAu
_chemical_formula_sum 'Sc16 Cu4 Au4'
_cell_length_a 7.7590
_cell_length_b 7.7590
_cell_length_c 7.7590
_cell_angle_alpha 90.00
_cell_angle_beta 90.00
_cell_angle_gamma 90.00
_space_group_name_H-M_alt 'F -4 3 m'
_space_group_IT_number 216
_space_group_name_Hall 'F -4 2 3'
loop_
_atom_site_label
_atom_site_fract_x
_atom_site_fract_y
_atom_site_fract_z
Sc1 0.1246 0.1246 0.1246
Cu1 0.0000 0.0000 0.5000
Au1 0.2500 0.2500 0.7500
```

=====

Record 6
Rb2InBi2 | meta-GGA SCAN | single point on PBEsol structure

D(E_F) = 1.28 states/eV/f.u.
crystal system = tetragonal
volume = 38.96 Å³ per atom
calculated total energy = -46.733 eV per atom
DFT formation energy = -0.33 eV/atom

Cell and atoms, written as CIF:
```
data_Rb2InBi2
_chemical_formula_sum 'Rb4 In2 Bi4'
_cell_length_a 8.0916
_cell_length_b 8.0916
_cell_length_c 5.9503
_cell_angle_alpha 90.00
_cell_angle_beta 90.00
_cell_angle_gamma 90.00
_space_group_name_H-M_alt 'P 4/m b m'
_space_group_IT_number 127
_space_group_name_Hall '-P 4 2ab'
loop_
_atom_site_label
_atom_site_fract_x
_atom_site_fract_y
_atom_site_fract_z
Rb1 0.1668 0.3332 0.0000
In1 0.0000 0.0000 0.5000
Bi1 0.1376 0.6376 0.5000
```

=====

Record 7
Be3In | meta-GGA SCAN | single point on PBEsol structure

D(E_F) = 1.36 states/eV/f.u.
crystal system = hexagonal
volume = 13.23 Å³ per atom
relative energy among the computed polymorphs = 158 meV/atom
calculated total energy = -10.949 eV per atom
DFT formation energy = 0.66 eV/atom

Cell and atoms, written as CIF:
```
data_Be3In
_chemical_formula_sum 'Be3 In1'
_cell_length_a 2.8488
_cell_length_b 2.8488
_cell_length_c 7.5270
_cell_angle_alpha 90.00
_cell_angle_beta 90.00
_cell_angle_gamma 120.00
_space_group_name_H-M_alt 'P -6 m 2'
_space_group_IT_number 187
_space_group_name_Hall 'P -6 2'
loop_
_atom_site_label
_atom_site_fract_x
_atom_site_fract_y
_atom_site_fract_z
Be1 0.0000 0.0000 0.0000
Be2 0.6667 0.3333 0.1988
In1 0.0000 0.0000 0.5000
```

=====

Record 8
Hf2H2Ru | meta-GGA SCAN | single point on PBEsol structure

D(E_F) = 0.86 states/eV/f.u.
crystal system = tetragonal
volume = 11.75 Å³ per atom
calculated total energy = -34.132 eV per atom

Cell and atoms, written as CIF:
```
data_Hf2H2Ru
_chemical_formula_sum 'Hf4 H4 Ru2'
_cell_length_a 3.1378
_cell_length_b 3.1378
_cell_length_c 11.9316
_cell_angle_alpha 90.00
_cell_angle_beta 90.00
_cell_angle_gamma 90.00
_space_group_name_H-M_alt 'I 4/m m m'
_space_group_IT_number 139
_space_group_name_Hall '-I 4 2'
loop_
_atom_site_label
_atom_site_fract_x
_atom_site_fract_y
_atom_site_fract_z
Hf1 0.0000 0.0000 0.1372
H1 0.0000 0.5000 0.2500
Ru1 0.0000 0.0000 0.5000
```

=====

Record 9
Al3AgAs | meta-GGA SCAN | single point on PBEsol structure

D(E_F) = 2.34 states/eV/f.u.
crystal system = cubic
volume = 22.52 Å³ per atom
calculated total energy = -14.251 eV per atom
DFT formation energy = 0.71 eV/atom

Cell and atoms, written as CIF:
```
data_Al3AgAs
_chemical_formula_sum 'Al3 Ag1 As1'
_cell_length_a 4.8292
_cell_length_b 4.8292
_cell_length_c 4.8292
_cell_angle_alpha 90.00
_cell_angle_beta 90.00
_cell_angle_gamma 90.00
_space_group_name_H-M_alt 'P m -3 m'
_space_group_IT_number 221
_space_group_name_Hall '-P 4 2 3'
loop_
_atom_site_label
_atom_site_fract_x
_atom_site_fract_y
_atom_site_fract_z
Al1 0.0000 0.0000 0.5000
Ag1 0.5000 0.5000 0.5000
As1 0.0000 0.0000 0.0000
```

=====

Record 10
CsCoPd2N | meta-GGA SCAN | single point on PBEsol structure

D(E_F) = 2.57 states/eV/f.u.
formation energy from raw total energies = 0.597 eV per atom
crystal system = tetragonal
volume = 17.78 Å³ per atom
calculated total energy = -25.394 eV per atom

Cell and atoms, written as CIF:
```
data_CsCoPd2N
_chemical_formula_sum 'Cs1 Co1 Pd2 N1'
_cell_length_a 5.1259
_cell_length_b 5.1259
_cell_length_c 3.3835
_cell_angle_alpha 90.00
_cell_angle_beta 90.00
_cell_angle_gamma 90.00
_space_group_name_H-M_alt 'P 4/m m m'
_space_group_IT_number 123
_space_group_name_Hall '-P 4 2'
loop_
_atom_site_label
_atom_site_fract_x
_atom_site_fract_y
_atom_site_fract_z
Cs1 0.0000 0.0000 0.0000
Co1 0.5000 0.5000 0.5000
Pd1 0.0000 0.5000 0.5000
N1 0.5000 0.5000 0.0000
```

=====

Record 11
Na2ZrN | meta-GGA SCAN | single point on PBEsol structure

D(E_F) = 2.02 states/eV/f.u.
formation energy from raw total energies = 0.056 eV per atom
crystal system = tetragonal
volume = 22.71 Å³ per atom
calculated total energy = -12.049 eV per atom

Cell and atoms, written as CIF:
```
data_Na2ZrN
_chemical_formula_sum 'Na8 Zr4 N4'
_cell_length_a 9.3310
_cell_length_b 9.3310
_cell_length_c 4.1740
_cell_angle_alpha 90.00
_cell_angle_beta 90.00
_cell_angle_gamma 90.00
_space_group_name_H-M_alt 'I -4 2 d'
_space_group_IT_number 122
_space_group_name_Hall 'I -4 2bw'
loop_
_atom_site_label
_atom_site_fract_x
_atom_site_fract_y
_atom_site_fract_z
Na1 0.1182 0.2500 0.1250
Zr1 0.0000 0.0000 0.5000
N1 0.0000 0.0000 0.0000
```

=====

Record 12
KNb2AgPd | meta-GGA SCAN | single point on PBEsol structure

D(E_F) = 4.80 states/eV/f.u.
crystal system = tetragonal
volume = 25.69 Å³ per atom
calculated total energy = -26.268 eV per atom
DFT formation energy = 1.48 eV/atom

Cell and atoms, written as CIF:
```
data_KNb2AgPd
_chemical_formula_sum 'K1 Nb2 Ag1 Pd1'
_cell_length_a 5.0197
_cell_length_b 5.0197
_cell_length_c 5.0974
_cell_angle_alpha 90.00
_cell_angle_beta 90.00
_cell_angle_gamma 90.00
_space_group_name_H-M_alt 'P 4/m m m'
_space_group_IT_number 123
_space_group_name_Hall '-P 4 2'
loop_
_atom_site_label
_atom_site_fract_x
_atom_site_fract_y
_atom_site_fract_z
K1 0.0000 0.0000 0.0000
Nb1 0.0000 0.5000 0.5000
Ag1 0.5000 0.5000 0.5000
Pd1 0.5000 0.5000 0.0000
```

=====

Record 13
SrSiTe | meta-GGA SCAN | single point on PBEsol structure

D(E_F) = 2.51 states/eV/f.u.
formation energy from raw total energies = -0.051 eV per atom
crystal system = cubic
volume = 32.35 Å³ per atom
relative energy among the computed polymorphs = 343 meV/atom
calculated total energy = -23.232 eV per atom

Cell and atoms, written as CIF:
```
data_SrSiTe
_chemical_formula_sum 'Sr4 Si4 Te4'
_cell_length_a 7.2946
_cell_length_b 7.2946
_cell_length_c 7.2946
_cell_angle_alpha 90.00
_cell_angle_beta 90.00
_cell_angle_gamma 90.00
_space_group_name_H-M_alt 'F -4 3 m'
_space_group_IT_number 216
_space_group_name_Hall 'F -4 2 3'
loop_
_atom_site_label
_atom_site_fract_x
_atom_site_fract_y
_atom_site_fract_z
Sr1 0.0000 0.0000 0.0000
Si1 0.0000 0.0000 0.5000
Te1 0.2500 0.2500 0.7500
```

=====

Record 14
CsBaSi2 | meta-GGA SCAN | single point on PBEsol structure

D(E_F) = 5.82 states/eV/f.u.
formation energy from raw total energies = 0.746 eV per atom
crystal system = tetragonal
volume = 34.46 Å³ per atom
calculated total energy = -23.602 eV per atom

Cell and atoms, written as CIF:
```
data_CsBaSi2
_chemical_formula_sum 'Cs4 Ba4 Si8'
_cell_length_a 9.3263
_cell_length_b 9.3263
_cell_length_c 6.3394
_cell_angle_alpha 90.00
_cell_angle_beta 90.00
_cell_angle_gamma 90.00
_space_group_name_H-M_alt 'I -4 2 d'
_space_group_IT_number 122
_space_group_name_Hall 'I -4 2bw'
loop_
_atom_site_label
_atom_site_fract_x
_atom_site_fract_y
_atom_site_fract_z
Cs1 0.0000 0.0000 0.0000
Ba1 0.0000 0.0000 0.5000
Si1 0.2277 0.2500 0.6250
```

=====

Record 15
ScNiSb | meta-GGA SCAN | single point on PBEsol structure

D(E_F) = 2.19 states/eV/f.u.
formation energy from raw total energies = -0.310 eV per atom
crystal system = orthorhombic
volume = 18.26 Å³ per atom
calculated total energy = -22.867 eV per atom

Cell and atoms, written as CIF:
```
data_ScNiSb
_chemical_formula_sum 'Sc2 Ni2 Sb2'
_cell_length_a 3.4989
_cell_length_b 3.8340
_cell_length_c 8.1665
_cell_angle_alpha 90.00
_cell_angle_beta 90.00
_cell_angle_gamma 90.00
_space_group_name_H-M_alt 'I m m 2'
_space_group_IT_number 44
loop_
_space_group_symop_operation_xyz
'x,y,z'
'-x,-y,z'
'-x,y,z'
'x,-y,z'
'x+1/2,y+1/2,z+1/2'
'-x+1/2,-y+1/2,z+1/2'
'-x+1/2,y+1/2,z+1/2'
'x+1/2,-y+1/2,z+1/2'
loop_
_atom_site_label
_atom_site_fract_x
_atom_site_fract_y
_atom_site_fract_z
Sc1 0.0000 0.0000 0.0000
Ni1 0.0000 0.0000 0.6565
Sb1 0.0000 0.0000 0.3333
```

=====

Record 16
RbReAu3 | meta-GGA SCAN | single point on PBEsol structure

D(E_F) = 2.90 states/eV/f.u.
crystal system = cubic
volume = 31.81 Å³ per atom
calculated total energy = -57.369 eV per atom
DFT formation energy = 2.49 eV/atom

Cell and atoms, written as CIF:
```
data_RbReAu3
_chemical_formula_sum 'Rb1 Re1 Au3'
_cell_length_a 5.4180
_cell_length_b 5.4180
_cell_length_c 5.4180
_cell_angle_alpha 90.00
_cell_angle_beta 90.00
_cell_angle_gamma 90.00
_space_group_name_H-M_alt 'P m -3 m'
_space_group_IT_number 221
_space_group_name_Hall '-P 4 2 3'
loop_
_atom_site_label
_atom_site_fract_x
_atom_site_fract_y
_atom_site_fract_z
Rb1 0.0000 0.0000 0.0000
Re1 0.5000 0.5000 0.5000
Au1 0.0000 0.0000 0.5000
```

=====

Record 17
BaAg2Au2 | meta-GGA SCAN | single point on PBEsol structure

D(E_F) = 1.74 states/eV/f.u.
crystal system = tetragonal
volume = 23.18 Å³ per atom
calculated total energy = -48.570 eV per atom
DFT formation energy = -0.45 eV/atom

Cell and atoms, written as CIF:
```
data_BaAg2Au2
_chemical_formula_sum 'Ba2 Ag4 Au4'
_cell_length_a 4.3462
_cell_length_b 4.3462
_cell_length_c 12.2732
_cell_angle_alpha 90.00
_cell_angle_beta 90.00
_cell_angle_gamma 90.00
_space_group_name_H-M_alt 'I 4/m m m'
_space_group_IT_number 139
_space_group_name_Hall '-I 4 2'
loop_
_atom_site_label
_atom_site_fract_x
_atom_site_fract_y
_atom_site_fract_z
Ba1 0.0000 0.0000 0.0000
Ag1 0.0000 0.5000 0.2500
Au1 0.0000 0.0000 0.3903
```

=====

Record 18
RuPt | meta-GGA SCAN | single point on PBEsol structure

D(E_F) = 1.59 states/eV/f.u.
crystal system = tetragonal
volume = 14.15 Å³ per atom
calculated total energy = -52.558 eV per atom
DFT formation energy = -0.05 eV/atom

Cell and atoms, written as CIF:
```
data_RuPt
_chemical_formula_sum 'Ru2 Pt2'
_cell_length_a 2.6989
_cell_length_b 2.6989
_cell_length_c 7.7710
_cell_angle_alpha 90.00
_cell_angle_beta 90.00
_cell_angle_gamma 90.00
_space_group_name_H-M_alt 'P 4/n m m'
_space_group_IT_number 129
loop_
_space_group_symop_operation_xyz
'x,y,z'
'-x,-y,-z'
'-y+1/2,x,z'
'y+1/2,-x,-z'
'-x+1/2,-y+1/2,z'
'x+1/2,y+1/2,-z'
'y,-x+1/2,z'
'-y,x+1/2,-z'
'x+1/2,-y,-z'
'-x+1/2,y,z'
'-y,-x,-z'
'y,x,z'
'-x,y+1/2,-z'
'x,-y+1/2,z'
'y+1/2,x+1/2,-z'
'-y+1/2,-x+1/2,z'
loop_
_atom_site_label
_atom_site_fract_x
_atom_site_fract_y
_atom_site_fract_z
Ru1 0.2500 0.2500 0.1128
Pt1 0.2500 0.2500 0.6343
```

=====

Record 19
KMgGaTc2 | meta-GGA SCAN | single point on PBEsol structure

D(E_F) = 3.55 states/eV/f.u.
crystal system = tetragonal
volume = 23.97 Å³ per atom
calculated total energy = -18.135 eV per atom
DFT formation energy = 1.82 eV/atom

Cell and atoms, written as CIF:
```
data_KMgGaTc2
_chemical_formula_sum 'K1 Mg1 Ga1 Tc2'
_cell_length_a 4.8207
_cell_length_b 4.8207
_cell_length_c 5.1565
_cell_angle_alpha 90.00
_cell_angle_beta 90.00
_cell_angle_gamma 90.00
_space_group_name_H-M_alt 'P 4/m m m'
_space_group_IT_number 123
_space_group_name_Hall '-P 4 2'
loop_
_atom_site_label
_atom_site_fract_x
_atom_site_fract_y
_atom_site_fract_z
K1 0.0000 0.0000 0.0000
Mg1 0.0000 0.0000 0.5000
Ga1 0.5000 0.5000 0.0000
Tc1 0.0000 0.5000 0.5000
```

=====

Record 20
RbBi3As | meta-GGA SCAN | single point on PBEsol structure

D(E_F) = 6.85 states/eV/f.u.
crystal system = cubic
volume = 40.46 Å³ per atom
calculated total energy = -53.554 eV per atom
DFT formation energy = 1.78 eV/atom

Cell and atoms, written as CIF:
```
data_RbBi3As
_chemical_formula_sum 'Rb1 Bi3 As1'
_cell_length_a 5.8704
_cell_length_b 5.8704
_cell_length_c 5.8704
_cell_angle_alpha 90.00
_cell_angle_beta 90.00
_cell_angle_gamma 90.00
_space_group_name_H-M_alt 'P m -3 m'
_space_group_IT_number 221
_space_group_name_Hall '-P 4 2 3'
loop_
_atom_site_label
_atom_site_fract_x
_atom_site_fract_y
_atom_site_fract_z
Rb1 0.0000 0.0000 0.0000
Bi1 0.0000 0.0000 0.5000
As1 0.5000 0.5000 0.5000
```